1.
A relaxed structure of Ta2AgB, computed with PBE.

Its calculated total energy is -7.18 eV per atom.

The space group is F-43m (No. 216) and the conventional cell measures 6.329, 6.329 and 6.329 Å, with angles of 90.00, 90.00 and 90.00 degrees. Symmetry generates all atoms from Ta at (0.000, 0.000, 0.000), Ta at (0.250, 0.250, 0.250), Ag at (0.250, 0.250, 0.750) and B at (0.000, 0.000, 0.500).


2.
A relaxed structure of TaAgB, computed with PBE.

As for the polymorph energy (0 for the lowest one): 0.166 eV/atom. Its calculated total energy is -5.73 eV per atom.

The space group is F-43m (No. 216) and the conventional cell measures 5.801, 5.801 and 5.801 Å, with angles of 90.00, 90.00 and 90.00 degrees. Symmetry generates all atoms from Ta at (0.000, 0.000, 0.000), Ag at (0.250, 0.250, 0.750) and B at (0.000, 0.000, 0.500).